(1)
Ac2MnPPt6 | Alexandria via LeMat-Bulk | PBE-GGA | optimized geometry; total energy = -6.733 eV/atom; D(E_F) = 4.409 states/eV per cell; formation energy from the elements = -829 meV/atom; space-group type = C2/m, No. 12
1.0
5.875 -2.820 0.000
5.875 2.820 0.000
-5.235 0.000 6.347
Ac Mn P Pt
2 1 1 6
direct
0.235 0.235 0.194
0.765 0.765 0.806
0.500 0.500 0.000
0.000 0.000 0.500
0.241 0.735 0.724
0.249 0.249 0.627
0.265 0.759 0.276
0.735 0.241 0.724
0.751 0.751 0.373
0.759 0.265 0.276

(2)
Ac2MnP3Pt4 | Alexandria via LeMat-Bulk | PBE-GGA | optimized geometry; total energy = -6.644 eV/atom; D(E_F) = 5.778 states/eV per cell; formation energy from the elements = -866 meV/atom; space-group type = P-4m2, No. 115
1.0
4.356 0.000 0.000
0.000 4.356 0.000
0.000 0.000 10.149
Ac Mn P Pt
2 1 3 4
direct
0.000 0.500 0.246
0.500 0.000 0.754
0.000 0.000 0.500
0.000 0.500 0.871
0.500 0.000 0.129
0.500 0.500 0.500
0.000 0.000 0.000
0.000 0.500 0.631
0.500 0.000 0.369
0.500 0.500 0.000

(3)
Ac2MnP4Pt3 | Alexandria via LeMat-Bulk | PBE-GGA | optimized geometry; total energy = -6.665 eV/atom; D(E_F) = 3.889 states/eV per cell; formation energy from the elements = -950 meV/atom; space-group type = P-4m2, No. 115
1.0
4.385 0.000 0.000
0.000 4.385 0.000
0.000 0.000 9.841
Ac Mn P Pt
2 1 4 3
direct
0.000 0.500 0.244
0.500 0.000 0.756
0.000 0.000 0.500
0.000 0.000 0.000
0.000 0.500 0.630
0.500 0.000 0.370
0.500 0.500 0.000
0.000 0.500 0.889
0.500 0.000 0.111
0.500 0.500 0.500

(4)
Ac2MnP3Rh4 | Alexandria via LeMat-Bulk | PBE-GGA | optimized geometry; total energy = -7.179 eV/atom; D(E_F) = 7.098 states/eV per cell; formation energy from the elements = -877 meV/atom; space-group type = P-4m2, No. 115
1.0
4.221 0.000 0.000
0.000 4.221 0.000
0.000 0.000 10.191
Ac Mn P Rh
2 1 3 4
direct
0.000 0.500 0.247
0.500 0.000 0.753
0.500 0.500 0.000
0.000 0.000 0.000
0.000 0.500 0.630
0.500 0.000 0.370
0.000 0.000 0.500
0.000 0.500 0.867
0.500 0.000 0.133
0.500 0.500 0.500

(5)
AcMnP2Rh | Alexandria via LeMat-Bulk | PBE-GGA | optimized geometry; total energy = -7.246 eV/atom; D(E_F) = 4.587 states/eV per cell; formation energy from the elements = -956 meV/atom; space-group type = I-4m2, No. 119
1.0
-1.987 1.987 5.747
1.987 -1.987 5.747
1.987 1.987 -5.747
Ac Mn P Rh
1 1 2 1
direct
0.000 0.000 0.000
0.250 0.750 0.500
0.352 0.352 0.000
0.648 0.648 0.000
0.750 0.250 0.500

(6)
Ac2MnP3Rh12 | Alexandria via LeMat-Bulk | PBE-GGA | optimized geometry; total energy = -6.993 eV/atom; D(E_F) = 14.625 states/eV per cell; formation energy from the elements = -224 meV/atom; space-group type = R-3m, No. 166
1.0
4.226 2.440 5.342
-4.226 2.440 5.342
0.000 -4.880 5.342
Ac Mn P Rh
2 1 3 12
direct
0.110 0.110 0.110
0.890 0.890 0.890
0.500 0.500 0.500
0.000 0.500 0.500
0.500 0.000 0.500
0.500 0.500 0.000
0.140 0.636 0.636
0.173 0.173 0.588
0.173 0.588 0.173
0.364 0.364 0.860
0.364 0.860 0.364
0.412 0.827 0.827
0.588 0.173 0.173
0.636 0.140 0.636
0.636 0.636 0.140
0.827 0.412 0.827
0.827 0.827 0.412
0.860 0.364 0.364

(7)
AcMnP2S8 | Alexandria via LeMat-Bulk | PBE-GGA | optimized geometry; total energy = -5.272 eV/atom; D(E_F) = 7.204 states/eV per cell; formation energy (no corrections) = -0.51 eV/atom; space-group type = P-3m1, No. 164
1.0
6.449 0.000 0.000
-3.224 5.585 0.000
0.000 0.000 8.707
Ac Mn P S
1 1 2 8
direct
0.000 0.000 0.000
0.000 0.000 0.500
0.333 0.667 0.218
0.667 0.333 0.782
0.158 0.317 0.291
0.158 0.842 0.291
0.317 0.158 0.709
0.333 0.667 0.987
0.667 0.333 0.013
0.683 0.842 0.291
0.842 0.158 0.709
0.842 0.683 0.709

(8)
AcPaMn2S8 | Alexandria via LeMat-Bulk | PBE-GGA | optimized geometry; total energy = -6.349 eV/atom; D(E_F) = 6.437 states/eV per cell; formation energy (no corrections) = -0.94 eV/atom; space-group type = I-4, No. 82
1.0
-3.175 3.175 6.859
3.175 -3.175 6.859
3.175 3.175 -6.859
Ac Pa Mn S
1 1 2 8
direct
0.000 0.000 0.000
0.750 0.250 0.500
0.250 0.750 0.500
0.500 0.500 0.000
0.023 0.968 0.620
0.032 0.652 0.055
0.151 0.294 0.610
0.348 0.403 0.380
0.458 0.849 0.143
0.597 0.977 0.945
0.685 0.542 0.390
0.706 0.315 0.857

(9)
AcPaMnS6 | Alexandria via LeMat-Bulk | PBE-GGA | optimized geometry; total energy = -6.406 eV/atom; D(E_F) = 2.028 states/eV per cell; formation energy (no corrections) = -1.12 eV/atom; space-group type = P312, No. 149
1.0
6.582 0.000 0.000
-3.291 5.700 0.000
0.000 0.000 5.910
Ac Pa Mn S
1 1 1 6
direct
0.000 0.000 0.000
0.667 0.333 0.500
0.333 0.667 0.000
0.025 0.398 0.242
0.025 0.626 0.758
0.374 0.398 0.758
0.374 0.975 0.242
0.602 0.626 0.242
0.602 0.975 0.758

(10)
AcPa2MnS8 | Alexandria via LeMat-Bulk | PBE-GGA | optimized geometry; total energy = -6.804 eV/atom; formation energy (no corrections) = -1.36 eV/atom; space-group type = P2/m, No. 10
1.0
6.211 0.000 0.000
0.000 8.182 0.000
-0.564 0.000 6.373
Ac Pa Mn S
1 2 1 8
direct
0.000 0.000 0.000
0.500 0.261 0.500
0.500 0.739 0.500
0.000 0.500 0.000
0.217 0.297 0.168
0.217 0.703 0.168
0.291 0.500 0.660
0.297 0.000 0.651
0.703 0.000 0.349
0.709 0.500 0.340
0.783 0.297 0.832
0.783 0.703 0.832

(11)
AcPaMnS4 | Alexandria via LeMat-Bulk | PBE-GGA | optimized geometry; total energy = -7.074 eV/atom; D(E_F) = 11.520 states/eV per cell; formation energy (no corrections) = -1.46 eV/atom; space-group type = P2_1/m, No. 11
1.0
6.487 0.000 0.000
0.000 6.198 0.000
-2.385 0.000 7.736
Ac Pa Mn S
2 2 2 8
direct
0.249 0.250 0.439
0.751 0.750 0.561
0.260 0.250 0.945
0.740 0.750 0.055
0.262 0.750 0.177
0.738 0.250 0.823
0.061 0.750 0.899
0.070 0.750 0.372
0.479 0.512 0.769
0.479 0.988 0.769
0.521 0.012 0.231
0.521 0.488 0.231
0.930 0.250 0.628
0.939 0.250 0.101

(12)
AcPaMn2Se8 | Alexandria via LeMat-Bulk | PBE-GGA | optimized geometry; total energy = -5.788 eV/atom; D(E_F) = 5.563 states/eV per cell; formation energy (no corrections) = -0.80 eV/atom; space-group type = I-4, No. 82
1.0
-3.396 3.396 7.033
3.396 -3.396 7.033
3.396 3.396 -7.033
Ac Pa Mn Se
1 1 2 8
direct
0.000 0.000 0.000
0.250 0.750 0.500
0.500 0.500 0.000
0.750 0.250 0.500
0.293 0.700 0.156
0.300 0.456 0.593
0.403 0.023 0.054
0.544 0.137 0.844
0.651 0.597 0.620
0.863 0.707 0.407
0.969 0.349 0.946
0.977 0.031 0.380